Arrangement 1

The following is a GGA-PBE calculation of an optimized crystal structure of LaSmCl, from the Alexandria database.

Values from the calculation:
SG: No. 156
Theoretical density (Mg/m³): 5.8

a b c (Å): 3.788 3.788 7.434
angles (deg): 90.00 90.00 120.00
Last column: magnetic moment on the atom in μB.
Element x y z (fractional)
1 Cl 0.667 0.333 0.346  0.01
2 La 0.000 0.000 0.022  0.11
3 Sm 0.333 0.667 0.632  0.16

---

Arrangement 2

The following is a GGA-PBE calculation of an optimized crystal structure of LaSmCl, from the Alexandria database.

Values from the calculation:
SG: No. 9
Theoretical density (Mg/m³): 5.9

a b c (Å): 5.947 10.131 10.028
angles (deg): 85.48 72.75 72.93
Element x y z (fractional)
1 La 0.830 0.602 0.230
2 La 0.337 0.102 0.730
3 Sm 0.664 0.269 0.899
4 La 0.631 0.626 0.648
5 Cl 0.425 0.842 0.863
6 Cl 0.003 0.851 0.152
7 Sm 0.914 0.112 0.541
8 La 0.095 0.126 0.148
9 Sm 0.564 0.960 0.388
10 Sm 0.433 0.612 0.041
11 Cl 0.582 0.136 0.155
12 La 0.911 0.851 0.873
13 Cl 0.127 0.636 0.655
14 Cl 0.994 0.351 0.652
15 Cl 0.870 0.342 0.363
16 Sm 0.168 0.769 0.399
17 Sm 0.087 0.460 0.888
18 La 0.365 0.351 0.373

---

The most stable arrangement is arrangement 2, and the next structure is 0.035 eV/atom less stable.

---

Arrangement 1

The following is a GGA-PBE calculation of an optimized crystal structure of LaSn2Cl, from the Alexandria database.

Values from the calculation:
SG: No. 225
Theoretical density (Mg/m³): 5.9

a b c (Å): 5.474 5.474 5.474
angles (deg): 60.00 60.00 60.00
Element x y z (fractional)
1 Sn 0.250 0.250 0.250
2 La 0.500 0.500 0.500
3 Sn 0.750 0.750 0.750
4 Cl 0.000 0.000 0.000

---

Arrangement 2

The following is a GGA-PBE calculation of an optimized crystal structure of LaSn2Cl, from the Alexandria database.

Values from the calculation:
SG: No. 122
Theoretical density (Mg/m³): 4.6

a b c (Å): 10.509 10.509 7.901
angles (deg): 48.31 48.31 90.00
Element x y z (fractional)
1 La 0.000 0.000 0.000
2 Sn 0.875 0.938 0.750
3 Cl 0.500 0.500 0.000
4 Sn 0.062 0.625 0.250
5 Sn 0.375 0.312 0.750
6 La 0.750 0.250 0.500
7 Sn 0.688 0.125 0.250
8 Cl 0.250 0.750 0.500

---

The most stable arrangement is arrangement 2, and the next structure is 0.279 eV/atom less stable.